No. 1
Below is a relaxed structure of TaV2H4, with properties calculated at the PBE level.

Geometry as POSCAR:
```
TaV2H4
1.0
-2.644 2.644 3.874
2.644 -2.644 3.874
2.644 2.644 -3.874
Ta V H
2 4 8
Direct
0.375 0.125 0.250
0.625 0.875 0.750
0.000 0.000 0.500
0.000 0.500 0.000
0.000 0.500 0.500
0.500 0.500 0.000
0.007 0.767 0.896
0.267 0.871 0.760
0.371 0.111 0.604
0.389 0.493 0.260
0.611 0.507 0.740
0.629 0.889 0.396
0.733 0.129 0.240
0.993 0.233 0.104
```

## Properties
polymorph energy (0 for the lowest one): 0.83 kJ per mole of atoms
energy: -89.29 eV for the cell shown

***

No. 2
Below is a relaxed structure of YEr2Tm3S6, with properties calculated at the PBE level.

Geometry as POSCAR:
```
YEr2Tm3S6
1.0
8.409 -1.927 0.000
8.409 1.927 0.000
-1.811 0.000 7.536
Y Er Tm S
1 2 3 6
Direct
0.000 0.000 0.000
0.334 0.334 0.667
0.666 0.666 0.333
0.000 0.000 0.500
0.334 0.334 0.167
0.666 0.666 0.833
0.166 0.166 0.585
0.169 0.169 0.083
0.500 0.500 0.255
0.500 0.500 0.745
0.831 0.831 0.917
0.834 0.834 0.415
```

## Properties
energy: -77.16 eV for the cell shown
formation energy from raw total energies: -1.949 eV/atom

***

No. 3
Below is a relaxed structure of NaW3Cl, with properties calculated at the PBE level.

Geometry as POSCAR:
```
NaW3Cl
1.0
4.657 0.000 0.000
0.000 4.657 0.000
0.000 0.000 4.657
Na W Cl
1 3 1
Direct
0.000 0.000 0.000
0.000 0.000 0.500
0.000 0.500 0.000
0.500 0.000 0.000
0.500 0.500 0.500
```

## Properties
polymorph energy (0 for the lowest one): 174.39 kJ per mole of atoms
energy: -24.40 eV for the cell shown
formation energy from raw total energies: 3.524 eV/atom

***

No. 4
Below is a relaxed structure of CaAl2Cd, with properties calculated at the PBE level.

Geometry as POSCAR:
```
CaAl2Cd
1.0
3.584 0.000 0.000
0.000 3.584 0.000
0.000 0.000 7.165
Ca Al Cd
1 2 1
Direct
0.000 0.000 0.000
0.500 0.500 0.296
0.500 0.500 0.704
0.000 0.000 0.500
```

## Properties
formation energy: -0.04 eV/atom
energy: -10.56 eV for the cell shown